Record 1
Compound: CaTcW2
Source: the Alexandria database
Functional: GGA-PBE
Structure: optimized geometry

Cell: 2.7948 2.7948 9.6548 Å, 90.00 90.00 109.60°
Sites, in units of the cell vectors:
1 W 0.0000 0.0000 0.5297
2 Tc 0.5000 0.5000 0.7500
3 W 0.0000 0.0000 0.9703
4 Ca 0.5000 0.5000 0.2500

Results
Energy above the most stable polymorph in this dataset in kJ per mole of atoms: 9.1
Magnetization in μB/f.u.: 0.00
ΔE_f in eV/atom: 0.59

Record 2
Compound: CaMnZn2
Source: the Alexandria database
Functional: GGA-PBE
Structure: optimized geometry

Cell: 5.5504 5.5504 5.5504 Å, 144.25 127.66 65.00°
Site moments in Bohr magnetons follow the coordinates.
Sites, in units of the cell vectors:
1 Ca 0.4940 0.4940 0.0000  -0.03
2 Zn 0.0058 0.0058 0.0000  -0.05
3 Zn 0.2183 0.7183 0.5000  -0.04
4 Mn 0.7818 0.2818 0.5000  3.77

Results
Magnetization in μB/f.u.: 3.76
ΔE_f in eV/atom: 0.16

Record 3
Compound: InCo2Cu
Source: the Alexandria database
Functional: GGA-PBE
Structure: optimized geometry

Cell: 2.9855 2.9855 6.2124 Å, 90.00 90.00 90.00°
Site moments in Bohr magnetons follow the coordinates.
Sites, in units of the cell vectors:
1 Co 0.0000 0.0000 0.0450  1.56
2 Cu 0.0000 0.0000 0.4638  0.01
3 In 0.5000 0.5000 0.7554  -0.01
4 Co 0.5000 0.5000 0.2358  1.73

Results
Magnetization in μB/f.u.: 3.23
ΔE_f in eV/atom: 0.17

Record 4
Compound: Ce2TcOs
Source: the Alexandria database
Functional: GGA-PBE
Structure: optimized geometry

Cell: 3.4846 4.8793 4.8793 Å, 90.00 90.00 90.00°
Sites, in units of the cell vectors:
1 Tc 0.5000 0.0000 0.0000
2 Ce 0.0000 0.0000 0.5000
3 Os 0.5000 0.5000 0.5000
4 Ce 0.0000 0.5000 0.0000

Results
Magnetization in μB/f.u.: 0.00
ΔE_f in eV/atom: -0.04

Record 5
Compound: BiRhPb3
Source: the Alexandria database
Functional: GGA-PBE
Structure: optimized geometry

Cell: 5.6822 5.6822 10.3251 Å, 100.36 100.36 110.27°
Sites, in units of the cell vectors:
1 Bi 0.0076 0.5076 0.0151
2 Rh 0.0000 0.0000 0.0000
3 Pb 0.9512 0.2872 0.2842
4 Pb 0.0030 0.6670 0.7158
5 Bi 0.4924 0.9924 0.9849
6 Pb 0.3330 0.9970 0.2842
7 Pb 0.7128 0.0488 0.7158
8 Pb 0.7035 0.7035 0.4070
9 Rh 0.2500 0.7500 0.5000
10 Pb 0.2965 0.2965 0.5930

Results
Energy above the most stable polymorph in this dataset in kJ per mole of atoms: 15.5
Magnetization in μB/f.u.: 0.00
ΔE_f in eV/atom: 0.13

Record 6
Compound: ZnCrRe2
Source: the Alexandria database
Functional: GGA-PBE
Structure: optimized geometry

Cell: 4.1909 2.6347 5.1872 Å, 78.05 90.00 90.00°
Sites, in units of the cell vectors:
1 Re 0.0000 0.9640 0.9980
2 Re 0.0000 0.5360 0.5020
3 Cr 0.5000 0.7500 0.7500
4 Zn 0.5000 0.2500 0.2500

Results
Magnetization in μB/f.u.: 0.00
ΔE_f in eV/atom: 0.21

Record 7
Compound: Rb3NpBr8
Source: the Alexandria database
Functional: GGA-PBE
Structure: optimized geometry

Cell: 10.0612 10.5127 10.5127 Å, 120.00 90.00 90.00°
Site moments in Bohr magnetons follow the coordinates.
Sites, in units of the cell vectors:
1 Rb 0.6908 0.6952 0.8476  0.00
2 Rb 0.6908 0.1524 0.3048  0.00
3 Rb 0.1908 0.3048 0.1524  0.00
4 Br 0.0018 0.0905 0.5452  -0.09
5 Br 0.9630 0.0000 0.0000  -0.01
6 Br 0.4630 0.0000 0.0000  -0.01
7 Br 0.1584 0.6667 0.3333  -0.12
8 Br 0.5018 0.5452 0.4548  -0.09
9 Np 0.6532 0.6667 0.3333  2.71
10 Rb 0.1908 0.8476 0.6952  0.00
11 Br 0.3069 0.2101 0.7899  -0.07
12 Br 0.3069 0.5797 0.7899  -0.07
13 Np 0.1532 0.3333 0.6667  2.71
14 Br 0.3069 0.2101 0.4203  -0.07
15 Br 0.6584 0.3333 0.6667  -0.12
16 Rb 0.6908 0.1524 0.8476  0.00
17 Br 0.5018 0.5452 0.0905  -0.09
18 Br 0.8069 0.7899 0.2101  -0.07
19 Br 0.8069 0.4203 0.2101  -0.07
20 Br 0.0018 0.4548 0.5452  -0.09
21 Br 0.0018 0.4548 0.9095  -0.09
22 Br 0.5018 0.9095 0.4548  -0.09
23 Rb 0.1908 0.8476 0.1524  0.00
24 Br 0.8069 0.7899 0.5797  -0.07

Results
Energy above the most stable polymorph in this dataset in kJ per mole of atoms: 0.0
Magnetization in μB/f.u.: 1.94

Record 8
Compound: NbCdIn2Te
Source: the Alexandria database
Functional: GGA-PBE
Structure: optimized geometry

Cell: 5.5224 5.5119 5.5224 Å, 90.00 90.00 90.00°
Site moments in Bohr magnetons follow the coordinates.
Sites, in units of the cell vectors:
1 In 0.0000 0.0000 0.5000  0.06
2 In 0.5000 0.0000 0.0000  0.06
3 Cd 0.0000 0.5000 0.0000  0.03
4 Te 0.5000 0.5000 0.5000  0.10
5 Nb 0.0000 0.0000 0.0000  1.53

Results
Magnetization in μB/f.u.: 2.41
DFT total energy in eV per cell: -15.74